# 1
A geometry-optimized MgIn2Co structure. Source: the Alexandria database, functional PBE-GGA.

Cell lengths 3.1846, 3.1846, 27.7270 Å; angles 90.00, 90.00, 120.00 degrees
Space group R3m (No. 160, hexagonal axes)
Inequivalent atoms, fractional coordinates:
Mg 0.0000 0.0000 0.0000 x3
In 0.0000 0.0000 0.5294 x3
In 0.0000 0.0000 0.7638 x3
Co 0.0000 0.0000 0.2652 x3

Properties
Total magnetization in Bohr magnetons per cell: 2.6
E in eV per cell: -40.17

=====

# 2
A geometry-optimized MgInCo2 structure. Source: the Alexandria database, functional PBE-GGA.

Cell lengths 8.6927, 2.8658, 5.0616 Å; angles 90.00, 100.96, 90.00 degrees
Space group C2/m (No. 12)
Inequivalent atoms, fractional coordinates:
Mg 0.0000 0.0000 0.0000 x2
In 0.0000 0.5000 0.5000 x2
Co 0.2474 0.0000 0.7904 x4

Properties
Total magnetization in Bohr magnetons per cell: 4.7
E in eV per cell: -34.90